ZrSc2Ta: relaxed, PBE.

```
ZrSc2Ta
1.0
5.129 -1.534 0.000
5.129 1.534 0.000
-0.764 0.000 5.568
Zr Sc Ta
1 2 1
direct
0.000 0.000 0.000
0.245 0.245 0.733
0.486 0.486 0.469
0.744 0.744 0.225
```

Its formation energy is 0.1447 eV per atom. As for the crystal system: monoclinic.

---

SnAsS: relaxed, PBE.

```
SnAsS
1.0
3.945 0.000 0.000
-1.972 3.416 0.000
0.000 0.000 4.977
Sn As S
1 1 1
direct
0.000 0.000 0.000
0.333 0.667 0.684
0.667 0.333 0.323
```

The uncorrected formation energy comes out at 0.064 eV per atom. Its relative energy among the computed polymorphs is 262 meV per atom. As for the crystal system: trigonal.

---

AlCdFe2: relaxed, PBE.

```
AlCdFe2
1.0
0.000 3.065 3.065
3.065 0.000 3.065
3.065 3.065 0.000
Al Cd Fe
1 1 2
direct
0.000 0.000 0.000
0.250 0.250 0.250
0.500 0.500 0.500
0.750 0.750 0.750
```

Its relative energy among the computed polymorphs is 128 meV per atom. Its formation energy is 0.1781 eV per atom. As for the crystal system: cubic.

---

KBaCo2: relaxed, PBE.

```
KBaCo2
1.0
-1.914 2.494 6.400
1.914 -2.494 6.400
1.914 2.494 -6.400
K Ba Co
1 1 2
direct
0.000 0.000 0.000
0.271 0.771 0.500
0.612 0.612 0.000
0.700 0.200 0.500
```

Its relative energy among the computed polymorphs is 199 meV per atom. Its formation energy is 0.6085 eV per atom. As for the crystal system: orthorhombic.

---

Number 1: electronic total energy -32.485 eV for the cell shown, DOS(E_F) 5.87 states/eV/f.u.. Number 2: electronic total energy -12.589 eV for the cell shown, DOS(E_F) 1.83 states/eV/f.u.. Number 3: electronic total energy -20.871 eV for the cell shown, DOS(E_F) 2.99 states/eV/f.u.. Number 4: electronic total energy -14.798 eV for the cell shown, DOS(E_F) 4.74 states/eV/f.u..